No. 1
# Sb4Pt3 PBE relaxed
data_Sb4Pt3
_symmetry_space_group_name_H-M 'P 6/m m m'
_symmetry_Int_Tables_number 191
_symmetry_space_group_name_Hall '-P 6 2'
_cell_length_a 5.3975
_cell_length_b 5.3975
_cell_length_c 6.1077
_cell_angle_alpha 90.00
_cell_angle_beta 90.00
_cell_angle_gamma 120.00
loop_
_atom_site_label
_atom_site_fract_x
_atom_site_fract_y
_atom_site_fract_z
Sb1 0.0000 0.0000 0.2305
Sb2 0.3333 0.6667 0.5000
Pt1 0.0000 0.5000 0.0000
# E, eV/cell: -34.00
# Total magnetization, μB per atom: 0.000
# ΔE_f (raw), eV per atom: 0.087

No. 2
# SbPt PBE relaxed
data_SbPt
_symmetry_space_group_name_H-M 'C 1 2/m 1'
_symmetry_Int_Tables_number 12
_cell_length_a 6.8124
_cell_length_b 4.0626
_cell_length_c 6.9958
_cell_angle_alpha 90.00
_cell_angle_beta 107.55
_cell_angle_gamma 90.00
loop_
_symmetry_equiv_pos_as_xyz
'x,y,z'
'-x,-y,-z'
'-x,y,-z'
'x,-y,z'
'x+1/2,y+1/2,z'
'-x+1/2,-y+1/2,-z'
'-x+1/2,y+1/2,-z'
'x+1/2,-y+1/2,z'
loop_
_atom_site_label
_atom_site_fract_x
_atom_site_fract_y
_atom_site_fract_z
Sb1 0.0843 0.0000 0.3008
Pt1 0.1346 0.5000 0.8880
# E, eV/cell: -43.15
# Total magnetization, μB per atom: 0.000
# ΔE_f (raw), eV per atom: -0.313

No. 3
# Sb2Pt PBE relaxed
data_Sb2Pt
_symmetry_space_group_name_H-M 'P a -3'
_symmetry_Int_Tables_number 205
_symmetry_space_group_name_Hall '-P 2ac 2ab 3'
_cell_length_a 6.5516
_cell_length_b 6.5516
_cell_length_c 6.5516
_cell_angle_alpha 90.00
_cell_angle_beta 90.00
_cell_angle_gamma 90.00
loop_
_atom_site_label
_atom_site_fract_x
_atom_site_fract_y
_atom_site_fract_z
Sb1 0.1252 0.1252 0.1252
Pt1 0.0000 0.0000 0.5000
# E, eV/cell: -63.07
# Total magnetization, μB per atom: 0.000
# ΔE_f (raw), eV per atom: -0.494